Entry from Alexandria: a relaxed structure of CsWS2Cl (PBE-GGA).

Cell: 5.4210 5.4210 5.9678 Å, 90.00 90.00 90.00°
With the nearest neighbours (Å) after each atom.
Space group P4/mmm (No. 123)
Symmetry-distinct sites (fractional):
Cs (0.0000, 0.0000, 0.0000) x1  4 S 2.71, 2 Cl 2.98
W (0.5000, 0.5000, 0.5000) x1  4 Cl 3.83, 8 S 4.03
S (0.0000, 0.5000, 0.0000) x2  2 Cs 2.71
Cl (0.0000, 0.0000, 0.5000) x1  2 Cs 2.98

Calculated values
As for the uncorrected formation energy: 1891 meV/atom. Its energy above the most stable polymorph in this dataset is 2547 meV/atom.

***

Entry from Alexandria: a relaxed structure of CsWSCl2 (PBE-GGA).

Cell: 5.2114 5.2114 4.6542 Å, 90.00 90.00 90.00°
With the nearest neighbours (Å) after each atom.
Space group P4/mmm (No. 123)
Symmetry-distinct sites (fractional):
Cs (0.0000, 0.0000, 0.0000) x1  8 Cl 3.49, 4 S 3.68
W (0.5000, 0.5000, 0.5000) x1  2 S 2.33, 4 Cl 2.61
S (0.5000, 0.5000, 0.0000) x1  2 W 2.33
Cl (0.0000, 0.5000, 0.5000) x2  2 W 2.61

Calculated values
As for the uncorrected formation energy: -680 meV/atom. Its energy above the most stable polymorph in this dataset is 0 meV/atom.

***

Entry from Alexandria: a relaxed structure of CsWS2Cl (PBE-GGA).

Cell: 4.7431 4.7431 5.3385 Å, 90.00 90.00 90.00°
With the nearest neighbours (Å) after each atom.
Space group P4/mmm (No. 123)
Symmetry-distinct sites (fractional):
Cs (0.0000, 0.0000, 0.0000) x1  4 Cl 3.35, 8 S 3.57
W (0.5000, 0.5000, 0.5000) x1  4 S 2.37
S (0.0000, 0.5000, 0.5000) x2  2 W 2.37
Cl (0.5000, 0.5000, 0.0000) x1  2 W 2.67

Calculated values
As for the uncorrected formation energy: -656 meV/atom. Its energy above the most stable polymorph in this dataset is 0 meV/atom.

***

Entry from Alexandria: a relaxed structure of CsZrS2Cl (PBE-GGA).

Cell: 5.0693 5.0693 5.3214 Å, 90.00 90.00 90.00°
With the nearest neighbours (Å) after each atom.
Space group P4/mmm (No. 123)
Symmetry-distinct sites (fractional):
Cs (0.0000, 0.0000, 0.0000) x1  4 Cl 3.58, 8 S 3.67
Zr (0.5000, 0.5000, 0.5000) x1  4 S 2.53, 2 Cl 2.66
S (0.0000, 0.5000, 0.5000) x2  2 Zr 2.53
Cl (0.5000, 0.5000, 0.0000) x1  2 Zr 2.66

Calculated values
As for the uncorrected formation energy: -1519 meV/atom. Its energy above the most stable polymorph in this dataset is 0 meV/atom.

***

Entry from Alexandria: a relaxed structure of CsZrS2Cl (PBE-GGA).

Cell: 5.3978 5.3978 5.8687 Å, 90.00 90.00 90.00°
With the nearest neighbours (Å) after each atom.
Space group P4/mmm (No. 123)
Symmetry-distinct sites (fractional):
Cs (0.0000, 0.0000, 0.0000) x1  4 S 2.70, 2 Cl 2.93
Zr (0.5000, 0.5000, 0.5000) x1  4 Cl 3.82, 8 S 3.99
S (0.0000, 0.5000, 0.0000) x2  2 Cs 2.70
Cl (0.0000, 0.0000, 0.5000) x1  2 Cs 2.93

Calculated values
As for the uncorrected formation energy: 883 meV/atom. Its energy above the most stable polymorph in this dataset is 2402 meV/atom.

***

Entry from Alexandria: a relaxed structure of CsZrSCl2 (PBE-GGA).

Cell: 5.9838 5.9838 5.4603 Å, 90.00 90.00 90.00°
With the nearest neighbours (Å) after each atom.
Space group P4/mmm (No. 123)
Symmetry-distinct sites (fractional):
Cs (0.0000, 0.0000, 0.0000) x1  2 S 2.73, 4 Cl 2.99
Zr (0.5000, 0.5000, 0.5000) x1  8 Cl 4.05, 4 S 4.23
S (0.0000, 0.0000, 0.5000) x1  2 Cs 2.73
Cl (0.0000, 0.5000, 0.0000) x2  2 Cs 2.99

Calculated values
As for the uncorrected formation energy: 463 meV/atom. Its energy above the most stable polymorph in this dataset is 2061 meV/atom.

***

Entry from Alexandria: a relaxed structure of CsZrSCl2 (PBE-GGA).

Cell: 5.2402 5.2402 5.0330 Å, 90.00 90.00 90.00°
With the nearest neighbours (Å) after each atom.
Space group P4/mmm (No. 123)
Symmetry-distinct sites (fractional):
Cs (0.0000, 0.0000, 0.0000) x1  8 Cl 3.63, 4 S 3.71
Zr (0.5000, 0.5000, 0.5000) x1  2 S 2.52, 4 Cl 2.62
S (0.5000, 0.5000, 0.0000) x1  2 Zr 2.52
Cl (0.0000, 0.5000, 0.5000) x2  2 Zr 2.62

Calculated values
As for the uncorrected formation energy: -1598 meV/atom. Its energy above the most stable polymorph in this dataset is 0 meV/atom.

***

Entry from Alexandria: a relaxed structure of Cs2SbCl (PBE-GGA).

Cell: 9.0785 9.0785 9.0785 Å, 90.00 90.00 90.00°
With the nearest neighbours (Å) after each atom.
Space group Fm-3m (No. 225)
Symmetry-distinct sites (fractional):
Cs (0.2500, 0.2500, 0.2500) x8  4 Cl 3.93, 4 Sb 3.93
Sb (0.0000, 0.0000, 0.0000) x4  8 Cs 3.93
Cl (0.0000, 0.0000, 0.5000) x4  8 Cs 3.93

Calculated values
As for the uncorrected formation energy: -701 meV/atom. Its energy above the most stable polymorph in this dataset is 48 meV/atom.

***

Entry from Alexandria: a relaxed structure of Cs2SbCl6 (PBE-GGA).

Cell: 10.7630 10.7630 10.7630 Å, 90.00 90.00 90.00°
With the nearest neighbours (Å) after each atom.
Space group Fm-3m (No. 225)
Symmetry-distinct sites (fractional):
Cs (0.2500, 0.2500, 0.2500) x8  12 Cl 3.81
Sb (0.0000, 0.0000, 0.0000) x4  6 Cl 2.55
Cl (0.0000, 0.0000, 0.2366) x24  1 Sb 2.55

Calculated values
As for the uncorrected formation energy: -1384 meV/atom.

***

Entry from Alexandria: a relaxed structure of Cs2SbCl (PBE-GGA).

Cell: 9.6492 9.6492 10.1031 Å, 90.00 90.00 90.00°
With the nearest neighbours (Å) after each atom.
Space group I-42d (No. 122)
Symmetry-distinct sites (fractional):
Cs (0.2000, 0.7500, 0.1250) x8  2 Cl 3.34
Sb (0.0000, 0.0000, 0.5000) x4  4 Cs 3.97
Cl (0.0000, 0.0000, 0.0000) x4  4 Cs 3.34

Calculated values
As for the uncorrected formation energy: -749 meV/atom. Its energy above the most stable polymorph in this dataset is 0 meV/atom.

***

Entry from Alexandria: a relaxed structure of Cs3SbCl (PBE-GGA).

Cell: 6.5632 6.5632 6.5632 Å, 90.00 90.00 90.00°
With the nearest neighbours (Å) after each atom.
Space group Pm-3m (No. 221)
Symmetry-distinct sites (fractional):
Cs (0.0000, 0.0000, 0.5000) x3  2 Cl 3.28
Sb (0.5000, 0.5000, 0.5000) x1  12 Cs 4.64
Cl (0.0000, 0.0000, 0.0000) x1  6 Cs 3.28

Calculated values
As for the uncorrected formation energy: -836 meV/atom. Its energy above the most stable polymorph in this dataset is 0 meV/atom.

***

Entry from Alexandria: a relaxed structure of Cs12Sb3Cl5 (PBE-GGA).

Cell: 21.3017 21.3017 21.3017 Å, 90.00 90.00 90.00°
With the nearest neighbours (Å) after each atom.
Space group Ia-3d (No. 230)
Symmetry-distinct sites (fractional):
Cs (0.0197, 0.0638, 0.6532) x96  2 Cl 3.34-3.56
Sb (0.0000, 0.2500, 0.1250) x24  8 Cs 3.95-4.03
Cl (0.0000, 0.0000, 0.0000) x16  6 Cs 3.56
Cl (0.0000, 0.2500, 0.3750) x24  4 Cs 3.34

Calculated values
As for the uncorrected formation energy: -1094 meV/atom.